1.
DFT (PBE) results for crystalline MnAlVFeMo at its relaxed geometry.

Geometry as POSCAR:
```
MnAlVFeMo
1.0
-1.241 -4.003 0.032
4.087 0.927 0.031
-0.129 0.142 12.882
Al Mo Mn Fe V
3 3 3 3 3
direct
0.000 0.000 0.608
0.333 0.667 0.274
0.667 0.333 0.941
0.000 0.000 0.190
0.333 0.667 0.857
0.667 0.333 0.523
0.000 0.000 0.003
0.333 0.667 0.669
0.667 0.333 0.336
0.000 0.000 0.804
0.333 0.667 0.471
0.667 0.333 0.138
0.000 0.000 0.387
0.333 0.667 0.054
0.667 0.333 0.721
```

Computed properties:
* energy of formation from the pure elements: -125 meV per atom
* total magnetization: 4.0 Bohr magnetons per cell
* SG: R3m

=====

2.
DFT (PBE) results for crystalline MnAlVFeMo at its relaxed geometry.

Geometry as POSCAR:
```
MnAlVFeMo
1.0
4.911 0.000 -0.002
0.000 4.162 0.000
-4.789 0.000 6.627
Al Mo Mn Fe V
2 2 2 2 2
direct
0.014 0.000 0.872
0.014 0.500 0.372
0.296 0.000 0.661
0.296 0.500 0.161
0.269 0.000 0.340
0.269 0.500 0.840
0.728 0.000 0.352
0.728 0.500 0.852
0.717 0.000 0.073
0.717 0.500 0.573
```

Computed properties:
* energy of formation from the pure elements: 13 meV per atom
* total magnetization: 1.6 Bohr magnetons per cell
* SG: Cm

=====

3.
DFT (PBE) results for crystalline MnAlVFeMo at its relaxed geometry.

Geometry as POSCAR:
```
MnAlVFeMo
1.0
-0.066 2.733 -3.110
-3.179 2.625 -0.382
0.987 4.649 1.310
Al Mo Mn Fe V
1 1 1 1 1
direct
0.104 0.999 0.319
0.312 0.208 0.694
0.906 0.801 0.915
0.708 0.603 0.507
0.518 0.413 0.078
```

Computed properties:
* energy of formation from the pure elements: -121 meV per atom
* total magnetization: 0.0 Bohr magnetons per cell
* SG: R3m

=====

4.
DFT (PBE) results for crystalline MnAlVFeMo at its relaxed geometry.

Geometry as POSCAR:
```
MnAlVFeMo
1.0
-1.426 3.646 1.647
-2.454 -2.237 -2.648
-4.830 -6.324 9.821
Al Mo Mn Fe V
3 3 3 3 3
direct
0.000 0.000 0.562
0.333 0.667 0.229
0.667 0.333 0.895
0.000 0.000 0.154
0.333 0.667 0.821
0.667 0.333 0.488
0.000 0.000 0.773
0.333 0.667 0.439
0.667 0.333 0.106
0.000 0.000 0.350
0.333 0.667 0.017
0.667 0.333 0.683
0.000 0.000 0.962
0.333 0.667 0.629
0.667 0.333 0.296
```

Computed properties:
* energy of formation from the pure elements: -105 meV per atom
* total magnetization: 4.8 Bohr magnetons per cell
* SG: R3m

=====

5.
DFT (PBE) results for crystalline MnAlVFeMo at its relaxed geometry.

Geometry as POSCAR:
```
MnAlVFeMo
1.0
4.145 0.000 0.000
-2.072 3.589 0.000
0.000 0.000 12.888
Al Mo Mn Fe V
3 3 3 3 3
direct
0.000 0.000 0.164
0.333 0.667 0.831
0.667 0.333 0.498
0.000 0.000 0.573
0.333 0.667 0.240
0.667 0.333 0.906
0.000 0.000 0.371
0.333 0.667 0.038
0.667 0.333 0.704
0.000 0.000 0.765
0.333 0.667 0.432
0.667 0.333 0.098
0.000 0.000 0.964
0.333 0.667 0.631
0.667 0.333 0.298
```

Computed properties:
* energy of formation from the pure elements: -86 meV per atom
* total magnetization: 0.0 Bohr magnetons per cell
* SG: R3m

=====

6.
DFT (PBE) results for crystalline Mn2AlFeN at its relaxed geometry.

Geometry as POSCAR:
```
Mn2AlFeN
1.0
3.753 0.000 0.000
0.000 3.753 0.000
0.000 0.000 3.772
N Mn Fe Al
1 2 1 1
direct
0.000 0.000 0.000
0.000 0.500 0.000
0.500 0.000 0.000
0.000 0.000 0.500
0.500 0.500 0.500
```

Computed properties:
* total magnetization: 2.4 Bohr magnetons per cell
* ΔE_f (raw): -1.639 eV/f.u.
* SG: P4/mmm